Entry 1:
DFT (SCAN) results for a crystal of HfTe2AsI relaxed with PBEsol.

Results
N(E_F) ... 0.708 states/eV/atom
SG ... No. 123
Total magnetic moment ... 0.218 μB per atom
Electronic total energy ... -190.4 eV/cell

Cell lengths 5.3464, 5.2759, 5.2759 Å; angles 90.00, 90.00, 90.00 degrees
Last column: magnetic moment on the atom in μB.
Element x y z (fractional)
I: 0.5000 0.0000 0.0000  -0.03
Te: 0.0000 0.0000 0.5000  -0.10
Te: 0.0000 0.5000 0.0000  -0.10
As: 0.0000 0.0000 0.0000  -0.01
Hf: 0.5000 0.5000 0.5000  0.92

=====

Entry 2:
DFT (SCAN) results for a crystal of HfIn3As relaxed with PBEsol.

Results
N(E_F) ... 1.030 states/eV/atom
SG ... No. 221
ΔE_f ... 20.8 kcal/mol of atoms
Total magnetic moment ... 0.000 μB per atom
Electronic total energy ... -178.5 eV/cell

Cell lengths 5.4469, 5.4469, 5.4469 Å; angles 90.00, 90.00, 90.00 degrees
Element x y z (fractional)
Hf: 0.0000 0.0000 0.0000
In: 0.0000 0.0000 0.5000
In: 0.0000 0.5000 0.0000
In: 0.5000 0.0000 0.0000
As: 0.5000 0.5000 0.5000

=====

Entry 3:
DFT (SCAN) results for a crystal of HfInAs2 relaxed with PBEsol.

Results
N(E_F) ... 0.843 states/eV/atom
SG ... No. 122
ΔE_f ... -6.1 kcal/mol of atoms
Total magnetic moment ... 0.000 μB per atom
Electronic total energy ... -275.0 eV/cell

Cell lengths 6.1615, 6.1615, 7.3547 Å; angles 114.76, 114.76, 90.00 degrees
Element x y z (fractional)
Hf: 0.2500 0.7500 0.5000
Hf: 0.0000 0.0000 0.0000
As: 0.3580 0.8750 0.2500
As: 0.8920 0.3750 0.2500
As: 0.1250 0.1080 0.7500
As: 0.6250 0.6420 0.7500
In: 0.5000 0.5000 0.0000
In: 0.7500 0.2500 0.5000

=====

Entry 4:
DFT (SCAN) results for a crystal of SrHfInAs2 relaxed with PBEsol.

Results
N(E_F) ... 0.543 states/eV/atom
SG ... No. 123
ΔE_f ... 22.4 kcal/mol of atoms
Total magnetic moment ... 0.189 μB per atom
Electronic total energy ... -153.9 eV/cell

Cell lengths 5.1791, 5.1791, 5.5673 Å; angles 90.00, 90.00, 90.00 degrees
Last column: magnetic moment on the atom in μB.
Element x y z (fractional)
In: 0.0000 0.0000 0.0000  -0.04
Sr: 0.0000 0.0000 0.5000  0.02
As: 0.5000 0.0000 0.0000  0.00
As: 0.0000 0.5000 0.0000  0.00
Hf: 0.5000 0.5000 0.5000  0.68